## TiTlSCl2 (PBE)

Data for a geometry-optimized TiTlSCl2 structure.

Computed properties:
ΔE_f (raw) (meV/atom): -1112
Offset from the most stable computed form (meV per atom): 0.0
Calculated volume (Å³ per cell): 120.1
Density of states at the Fermi level (states/eV/f.u.): 3.08
Symmetry: P4/mmm

Cell and atoms, written as extended XYZ:
```
5
Lattice="5.021 0.000 0.000 0.000 5.021 0.000 0.000 0.000 4.764" Properties=species:S:1:pos:R:3 pbc="T T T"
Tl 2.511 2.511 2.382
Cl 0.000 2.511 0.000
Ti 0.000 0.000 0.000
S 0.000 0.000 2.382
Cl 2.511 0.000 0.000
```

---

## TiTlSCl2 (PBE)

Data for a geometry-optimized TiTlSCl2 structure.

Computed properties:
ΔE_f (raw) (meV/atom): 269
Offset from the most stable computed form (meV per atom): 1381.7
Calculated volume (Å³ per cell): 147.3
Density of states at the Fermi level (states/eV/f.u.): 3.40
Symmetry: P4/mmm

Cell and atoms, written as extended XYZ:
```
5
Lattice="5.346 0.000 0.000 0.000 5.346 0.000 0.000 0.000 5.153" Properties=species:S:1:pos:R:3 pbc="T T T"
Cl 0.000 2.673 0.000
Tl 0.000 0.000 0.000
S 0.000 0.000 2.577
Ti 2.673 2.673 2.577
Cl 2.673 0.000 0.000
```

---

## TiTlS2Cl (PBE)

Data for a geometry-optimized TiTlS2Cl structure.

Computed properties:
ΔE_f (raw) (meV/atom): -943
Offset from the most stable computed form (meV per atom): 0.0
Calculated volume (Å³ per cell): 114.3
Density of states at the Fermi level (states/eV/f.u.): 2.11
Symmetry: P4/mmm

Cell and atoms, written as extended XYZ:
```
5
Lattice="4.764 0.000 0.000 0.000 4.764 0.000 0.000 0.000 5.037" Properties=species:S:1:pos:R:3 pbc="T T T"
S 0.000 2.382 0.000
Ti 0.000 0.000 0.000
Cl 0.000 0.000 2.519
Tl 2.382 2.382 2.519
S 2.382 0.000 0.000
```

---

## TiTlS2Cl (PBE)

Data for a geometry-optimized TiTlS2Cl structure.

Computed properties:
ΔE_f (raw) (meV/atom): 539
Offset from the most stable computed form (meV per atom): 1481.8
Calculated volume (Å³ per cell): 134.1
Density of states at the Fermi level (states/eV/f.u.): 10.92
Symmetry: P4/mmm

Cell and atoms, written as extended XYZ:
```
5
Lattice="5.110 0.000 0.000 0.000 5.110 0.000 0.000 0.000 5.133" Properties=species:S:1:pos:R:3 pbc="T T T"
Ti 2.555 2.555 2.566
Cl 0.000 0.000 2.566
S 2.555 0.000 0.000
S 0.000 2.555 0.000
Tl 0.000 0.000 0.000
```

---

Please write out number 4 again, unchanged.
## TiTlS2Cl (PBE)

Data for a geometry-optimized TiTlS2Cl structure.

Computed properties:
ΔE_f (raw) (meV/atom): 539
Offset from the most stable computed form (meV per atom): 1481.8
Calculated volume (Å³ per cell): 134.1
Density of states at the Fermi level (states/eV/f.u.): 10.92
Symmetry: P4/mmm

Cell and atoms, written as extended XYZ:
```
5
Lattice="5.110 0.000 0.000 0.000 5.110 0.000 0.000 0.000 5.133" Properties=species:S:1:pos:R:3 pbc="T T T"
Ti 2.555 2.555 2.566
Cl 0.000 0.000 2.566
S 2.555 0.000 0.000
S 0.000 2.555 0.000
Tl 0.000 0.000 0.000
```